(1)
The following is a DFT calculation (PBE) of an optimized crystal structure of Nb2SnSe.

```
data_Nb2SnSe
_chemical_formula_sum 'Nb8 Sn4 Se4'
_cell_length_a 4.1247
_cell_length_b 4.1247
_cell_length_c 19.5514
_cell_angle_alpha 90.00
_cell_angle_beta 90.00
_cell_angle_gamma 90.00
_symmetry_space_group_name_H-M 'I -4 2 d'
_symmetry_Int_Tables_number 122
_symmetry_space_group_name_Hall 'I -4 2bw'
loop_
_atom_site_label
_atom_site_fract_x
_atom_site_fract_y
_atom_site_fract_z
_atom_site_occupancy
Nb1 0.2389 0.2500 0.1250 1
Sn1 0.0000 0.0000 0.5000 1
Se1 0.0000 0.0000 0.0000 1
```

Values from the calculation:
E above lowest polymorph = 1.24 eV/f.u.
DOS(E_F) = 2.4 states/eV/f.u.
Size of the total moment = 0.0 μB per formula unit

(2)
The following is a DFT calculation (PBE) of an optimized crystal structure of Nb2SnSe.

```
data_Nb2SnSe
_chemical_formula_sum 'Nb8 Sn4 Se4'
_cell_length_a 6.6943
_cell_length_b 6.6943
_cell_length_c 6.6943
_cell_angle_alpha 90.00
_cell_angle_beta 90.00
_cell_angle_gamma 90.00
_symmetry_space_group_name_H-M 'F m -3 m'
_symmetry_Int_Tables_number 225
_symmetry_space_group_name_Hall '-F 4 2 3'
loop_
_atom_site_label
_atom_site_fract_x
_atom_site_fract_y
_atom_site_fract_z
_atom_site_occupancy
Nb1 0.2500 0.2500 0.2500 1
Sn1 0.0000 0.0000 0.0000 1
Se1 0.0000 0.0000 0.5000 1
```

Values from the calculation:
E above lowest polymorph = 0.00 eV/f.u.
DOS(E_F) = 2.6 states/eV/f.u.
Size of the total moment = 0.0 μB per formula unit

(3)
The following is a DFT calculation (PBE) of an optimized crystal structure of NbSnSe.

```
data_NbSnSe
_chemical_formula_sum 'Nb1 Sn1 Se1'
_cell_length_a 3.3641
_cell_length_b 3.3641
_cell_length_c 6.6698
_cell_angle_alpha 90.00
_cell_angle_beta 90.00
_cell_angle_gamma 120.00
_symmetry_space_group_name_H-M 'P 3 m 1'
_symmetry_Int_Tables_number 156
loop_
_symmetry_equiv_pos_as_xyz
'x,y,z'
'-y,x-y,z'
'-x+y,-x,z'
'-y,-x,z'
'-x+y,y,z'
'x,x-y,z'
loop_
_atom_site_label
_atom_site_fract_x
_atom_site_fract_y
_atom_site_fract_z
_atom_site_occupancy
Nb1 0.0000 0.0000 0.0000 1
Sn1 0.3333 0.6667 0.6584 1
Se1 0.6667 0.3333 0.2552 1
```

Values from the calculation:
E above lowest polymorph = 0.00 eV/f.u.
DOS(E_F) = 2.1 states/eV/f.u.
Size of the total moment = 0.0 μB per formula unit

(4)
The following is a DFT calculation (PBE) of an optimized crystal structure of NbSnSe2.

```
data_NbSnSe2
_chemical_formula_sum 'Nb3 Sn3 Se6'
_cell_length_a 3.4149
_cell_length_b 3.4149
_cell_length_c 27.6121
_cell_angle_alpha 90.00
_cell_angle_beta 90.00
_cell_angle_gamma 120.00
_symmetry_space_group_name_H-M 'R 3 m'
_symmetry_Int_Tables_number 160
_symmetry_space_group_name_Hall 'R 3 -2"'
loop_
_atom_site_label
_atom_site_fract_x
_atom_site_fract_y
_atom_site_fract_z
_atom_site_occupancy
Nb1 0.0000 0.0000 0.0000 1
Sn1 0.0000 0.0000 0.8297 1
Se1 0.0000 0.0000 0.3966 1
Se2 0.0000 0.0000 0.6040 1
```

Values from the calculation:
Energy = -5.791 eV/atom
DOS(E_F) = 2.0 states/eV/f.u.
Size of the total moment = 0.0 μB per formula unit

(5)
The following is a DFT calculation (PBE) of an optimized crystal structure of NbSnSe.

```
data_NbSnSe
_chemical_formula_sum 'Nb4 Sn4 Se4'
_cell_length_a 6.2779
_cell_length_b 5.8214
_cell_length_c 9.0634
_cell_angle_alpha 90.00
_cell_angle_beta 123.87
_cell_angle_gamma 90.00
_symmetry_space_group_name_H-M 'P 1 21/c 1'
_symmetry_Int_Tables_number 14
loop_
_symmetry_equiv_pos_as_xyz
'x,y,z'
'-x,-y,-z'
'-x,y+1/2,-z+1/2'
'x,-y+1/2,z+1/2'
loop_
_atom_site_label
_atom_site_fract_x
_atom_site_fract_y
_atom_site_fract_z
_atom_site_occupancy
Nb1 0.1479 0.1237 0.1773 1
Sn1 0.2812 0.5782 0.0766 1
Se1 0.2525 0.1123 0.9385 1
```

Values from the calculation:
E above lowest polymorph = 0.61 eV/f.u.
DOS(E_F) = 1.2 states/eV/f.u.
Size of the total moment = 0.0 μB per formula unit

(6)
The following is a DFT calculation (PBE) of an optimized crystal structure of Nb6SnSe8.

```
data_Nb6SnSe8
_chemical_formula_sum 'Nb6 Sn1 Se8'
_cell_length_a 10.0928
_cell_length_b 10.0928
_cell_length_c 3.5015
_cell_angle_alpha 90.00
_cell_angle_beta 90.00
_cell_angle_gamma 120.00
_symmetry_space_group_name_H-M 'P -3'
_symmetry_Int_Tables_number 147
loop_
_symmetry_equiv_pos_as_xyz
'x,y,z'
'-x,-y,-z'
'-y,x-y,z'
'y,-x+y,-z'
'-x+y,-x,z'
'x-y,x,-z'
loop_
_atom_site_label
_atom_site_fract_x
_atom_site_fract_y
_atom_site_fract_z
_atom_site_occupancy
Nb1 0.1069 0.4878 0.2485 1
Sn1 0.0000 0.0000 0.0000 1
Se1 0.0578 0.7227 0.2521 1
Se2 0.3333 0.6667 0.7494 1
```

Values from the calculation:
Energy = -6.913 eV/atom
DOS(E_F) = 5.4 states/eV/f.u.
Size of the total moment = 0.0 μB per formula unit

(7)
The following is a DFT calculation (PBE) of an optimized crystal structure of NbSnSe2.

```
data_NbSnSe2
_chemical_formula_sum 'Nb4 Sn4 Se8'
_cell_length_a 3.4097
_cell_length_b 20.2531
_cell_length_c 5.1447
_cell_angle_alpha 90.00
_cell_angle_beta 90.00
_cell_angle_gamma 90.00
_symmetry_space_group_name_H-M 'C m c m'
_symmetry_Int_Tables_number 63
_symmetry_space_group_name_Hall '-C 2c 2'
loop_
_atom_site_label
_atom_site_fract_x
_atom_site_fract_y
_atom_site_fract_z
_atom_site_occupancy
Nb1 0.0000 0.2157 0.2500 1
Sn1 0.0000 0.0403 0.7500 1
Se1 0.0000 0.1841 0.7500 1
Se2 0.0000 0.3849 0.7500 1
```

Values from the calculation:
Energy = -5.707 eV/atom
DOS(E_F) = 2.2 states/eV/f.u.
Size of the total moment = 0.0 μB per formula unit

(8)
The following is a DFT calculation (PBE) of an optimized crystal structure of NbSn2Se.

```
data_NbSn2Se
_chemical_formula_sum 'Nb4 Sn8 Se4'
_cell_length_a 6.5490
_cell_length_b 6.5490
_cell_length_c 12.4519
_cell_angle_alpha 90.00
_cell_angle_beta 90.00
_cell_angle_gamma 90.00
_symmetry_space_group_name_H-M 'I -4 2 d'
_symmetry_Int_Tables_number 122
_symmetry_space_group_name_Hall 'I -4 2bw'
loop_
_atom_site_label
_atom_site_fract_x
_atom_site_fract_y
_atom_site_fract_z
_atom_site_occupancy
Nb1 0.0000 0.0000 0.0000 1
Sn1 0.2454 0.2500 0.1250 1
Se1 0.0000 0.0000 0.5000 1
```

Values from the calculation:
Energy = -4.768 eV/atom
DOS(E_F) = 3.0 states/eV/f.u.
Size of the total moment = 1.6 μB per formula unit

(9)
The following is a DFT calculation (PBE) of an optimized crystal structure of NbSnSe3.

```
data_NbSnSe3
_chemical_formula_sum 'Nb4 Sn4 Se12'
_cell_length_a 17.3747
_cell_length_b 3.7700
_cell_length_c 7.4008
_cell_angle_alpha 90.00
_cell_angle_beta 97.63
_cell_angle_gamma 90.00
_symmetry_space_group_name_H-M 'C 1 2/m 1'
_symmetry_Int_Tables_number 12
loop_
_symmetry_equiv_pos_as_xyz
'x,y,z'
'-x,-y,-z'
'-x,y,-z'
'x,-y,z'
'x+1/2,y+1/2,z'
'-x+1/2,-y+1/2,-z'
'-x+1/2,y+1/2,-z'
'x+1/2,-y+1/2,z'
loop_
_atom_site_label
_atom_site_fract_x
_atom_site_fract_y
_atom_site_fract_z
_atom_site_occupancy
Nb1 0.2076 0.0000 0.2414 1
Sn1 0.0446 0.5000 0.6927 1
Se1 0.0559 0.0000 0.2165 1
Se2 0.1740 0.5000 0.9840 1
Se3 0.1938 0.0000 0.6028 1
```

Values from the calculation:
E above lowest polymorph = 0.00 eV/f.u.
DOS(E_F) = 2.3 states/eV/f.u.
Size of the total moment = 0.6 μB per formula unit

(10)
The following is a DFT calculation (PBE) of an optimized crystal structure of Nb2Sn2Se.

```
data_Nb2Sn2Se
_chemical_formula_sum 'Nb4 Sn4 Se2'
_cell_length_a 7.2382
_cell_length_b 7.2382
_cell_length_c 4.0083
_cell_angle_alpha 90.00
_cell_angle_beta 90.00
_cell_angle_gamma 90.00
_symmetry_space_group_name_H-M 'P 4/m b m'
_symmetry_Int_Tables_number 127
_symmetry_space_group_name_Hall '-P 4 2ab'
loop_
_atom_site_label
_atom_site_fract_x
_atom_site_fract_y
_atom_site_fract_z
_atom_site_occupancy
Nb1 0.1570 0.3430 0.0000 1
Sn1 0.1431 0.6431 0.5000 1
Se1 0.0000 0.0000 0.0000 1
```

Values from the calculation:
Energy = -6.383 eV/atom
DOS(E_F) = 3.3 states/eV/f.u.
Size of the total moment = 0.0 μB per formula unit

(11)
The following is a DFT calculation (PBE) of an optimized crystal structure of NbSnSe3.

```
data_NbSnSe3
_chemical_formula_sum 'Nb1 Sn1 Se3'
_cell_length_a 5.0813
_cell_length_b 5.0813
_cell_length_c 5.0813
_cell_angle_alpha 90.00
_cell_angle_beta 90.00
_cell_angle_gamma 90.00
_symmetry_space_group_name_H-M 'P m -3 m'
_symmetry_Int_Tables_number 221
_symmetry_space_group_name_Hall '-P 4 2 3'
loop_
_atom_site_label
_atom_site_fract_x
_atom_site_fract_y
_atom_site_fract_z
_atom_site_occupancy
Nb1 0.0000 0.0000 0.0000 1
Sn1 0.5000 0.5000 0.5000 1
Se1 0.0000 0.0000 0.5000 1
```

Values from the calculation:
E above lowest polymorph = 1.25 eV/f.u.
DOS(E_F) = 3.0 states/eV/f.u.
Size of the total moment = 0.0 μB per formula unit

(12)
The following is a DFT calculation (PBE) of an optimized crystal structure of Nb2Sn2Se7.

```
data_Nb2Sn2Se7
_chemical_formula_sum 'Nb4 Sn4 Se14'
_cell_length_a 3.6723
_cell_length_b 15.2397
_cell_length_c 9.5558
_cell_angle_alpha 90.00
_cell_angle_beta 90.00
_cell_angle_gamma 90.00
_symmetry_space_group_name_H-M 'I m m 2'
_symmetry_Int_Tables_number 44
loop_
_symmetry_equiv_pos_as_xyz
'x,y,z'
'-x,-y,z'
'-x,y,z'
'x,-y,z'
'x+1/2,y+1/2,z+1/2'
'-x+1/2,-y+1/2,z+1/2'
'-x+1/2,y+1/2,z+1/2'
'x+1/2,-y+1/2,z+1/2'
loop_
_atom_site_label
_atom_site_fract_x
_atom_site_fract_y
_atom_site_fract_z
_atom_site_occupancy
Nb1 0.0000 0.0000 0.0000 1
Nb2 0.0000 0.5000 0.1437 1
Sn1 0.0000 0.3239 0.8051 1
Se1 0.0000 0.1135 0.5602 1
Se2 0.0000 0.1750 0.0935 1
Se3 0.0000 0.3988 0.3605 1
Se4 0.0000 0.5000 0.7104 1
```

Values from the calculation:
Energy = -5.284 eV/atom
DOS(E_F) = 3.4 states/eV/f.u.
Size of the total moment = 0.0 μB per formula unit